1.
Below is a relaxed CsB3I crystal, with properties calculated at the PBE level.

Results
ΔE_f (raw): 298.7 kJ/mol of atoms
Energy relative to the lowest polymorph listed for this composition: 674 meV/atom
Theoretical density: 2.98 g/cm³

Cell: 5.4609 5.4609 5.4609 Å, 90.00 90.00 90.00°
With the nearest neighbours (Å) after each atom.
Fractional positions:
Cs: 0.0000 0.0000 0.0000  6 B 2.73
I: 0.5000 0.5000 0.5000  12 B 3.86
B: 0.0000 0.5000 0.0000  2 Cs 2.73
B: 0.0000 0.0000 0.5000  2 Cs 2.73
B: 0.5000 0.0000 0.0000  2 Cs 2.73

2.
Below is a relaxed CsBI crystal, with properties calculated at the PBE level.

Results
ΔE_f (raw): -2.3 kJ/mol of atoms
Theoretical density: 3.66 g/cm³

Cell: 9.9132 7.0658 9.8354 Å, 90.00 90.00 134.55°
With the nearest neighbours (Å) after each atom.
Fractional positions:
B: 0.5712 0.1423 0.5160  1 B 1.47
B: 0.9288 0.8577 0.0160  1 B 1.47
B: 0.4288 0.8577 0.4840  1 B 1.47
B: 0.0712 0.1423 0.9840  1 B 1.47
Cs: 0.2944 0.0889 0.2500  4 B 3.58-3.61
Cs: 0.2056 0.9111 0.7500  4 B 3.58-3.61
Cs: 0.7056 0.9111 0.7500  4 B 3.58-3.61
Cs: 0.7944 0.0889 0.2500  4 B 3.58-3.61
I: 0.7812 0.5623 0.4731  1 B 2.16
I: 0.7188 0.4377 0.9731  1 B 2.16
I: 0.2188 0.4377 0.5269  1 B 2.16
I: 0.2812 0.5623 0.0269  1 B 2.16

3.
Below is a relaxed Cs2BIrI6 crystal, with properties calculated at the PBE level.

Results
ΔE_f (raw): -31.8 kJ/mol of atoms
Theoretical density: 4.89 g/cm³

Cell: 9.1074 9.1074 8.1745 Å, 56.15 56.15 90.00°
With the nearest neighbours (Å) after each atom.
Fractional positions:
Cs: 0.7500 0.2500 0.5000  12 I 4.12-4.57
Cs: 0.2500 0.7500 0.5000  12 I 4.12-4.57
I: 0.2899 0.2899 0.4201  1 B 2.12
I: 0.7101 0.7101 0.5799  1 B 2.12
I: 0.2092 0.2092 0.0000  1 Ir 2.69
I: 0.7908 0.7908 0.0000  1 Ir 2.69
I: 0.7908 0.2092 0.0000  1 Ir 2.69
I: 0.2092 0.7908 0.0000  1 Ir 2.69
B: 0.5000 0.5000 0.0000  2 I 2.12
Ir: 0.0000 0.0000 0.0000  6 I 2.69-2.92

4.
Below is a relaxed CsLiB2I8 crystal, with properties calculated at the PBE level.

Results
ΔE_f (raw): -44.9 kJ/mol of atoms
Theoretical density: 4.15 g/cm³

Cell: 7.1154 7.1154 11.4896 Å, 71.96 71.96 60.00°
With the nearest neighbours (Å) after each atom.
Fractional positions:
Cs: 0.5000 0.5000 0.5000  12 I 4.15-4.31
Li: 0.0000 0.0000 0.0000  6 I 3.10
B: 0.2540 0.2540 0.2380  4 I 2.26-2.27
B: 0.7460 0.7460 0.7620  4 I 2.26-2.27
I: 0.1838 0.1838 0.4485  1 B 2.26
I: 0.5793 0.2748 0.1728  1 B 2.27
I: 0.8162 0.8162 0.5515  1 B 2.26
I: 0.9732 0.5793 0.1728  1 B 2.27
I: 0.0268 0.4207 0.8272  1 B 2.27
I: 0.2748 0.9732 0.1728  1 B 2.27
I: 0.7252 0.0268 0.8272  1 B 2.27
I: 0.4207 0.7252 0.8272  1 B 2.27

5.
Below is a relaxed Cs2LiBI6 crystal, with properties calculated at the PBE level.

Results
ΔE_f (raw): -60.4 kJ/mol of atoms
Theoretical density: 4.03 g/cm³

Cell: 9.0287 9.0287 8.2901 Å, 57.01 57.01 90.00°
With the nearest neighbours (Å) after each atom.
Fractional positions:
Cs: 0.7500 0.2500 0.5000  12 I 4.16-4.56
Cs: 0.2500 0.7500 0.5000  12 I 4.16-4.56
I: 0.1916 0.1916 0.6169  1 B 2.03
I: 0.8084 0.8084 0.3831  1 B 2.03
I: 0.2751 0.2751 0.0000  1 Li 2.87
I: 0.7249 0.7249 0.0000  1 Li 2.87
I: 0.7249 0.2751 0.0000  1 Li 2.87
I: 0.2751 0.7249 0.0000  1 Li 2.87
B: 0.0000 0.0000 0.0000  2 I 2.03
Li: 0.5000 0.5000 0.0000  4 I 2.87

6.
Below is a relaxed Cs2MgBI6 crystal, with properties calculated at the PBE level.

Results
ΔE_f (raw): -55.5 kJ/mol of atoms
Theoretical density: 4.68 g/cm³

Cell: 8.1066 8.1066 8.1098 Å, 60.01 60.01 90.00°
With the nearest neighbours (Å) after each atom.
Fractional positions:
Cs: 0.7500 0.2500 0.5000  12 I 4.06
Cs: 0.2500 0.7500 0.5000  12 I 4.06
I: 0.2610 0.2610 0.4780  1 B 2.74, 1 Mg 2.99
I: 0.7390 0.7390 0.5220  1 B 2.74, 1 Mg 2.99
I: 0.2606 0.2606 0.0000  1 B 2.74, 1 Mg 2.99
I: 0.7394 0.7394 0.0000  1 B 2.74, 1 Mg 2.99
I: 0.7394 0.2606 0.0000  1 B 2.74, 1 Mg 2.99
I: 0.2606 0.7394 0.0000  1 B 2.74, 1 Mg 2.99
Mg: 0.0000 0.0000 0.0000  6 I 2.99
B: 0.5000 0.5000 0.0000  6 I 2.74

7.
Below is a relaxed Cs2BMoI6 crystal, with properties calculated at the PBE level.

Results
ΔE_f (raw): -31.0 kJ/mol of atoms
Theoretical density: 4.88 g/cm³

Cell: 8.1815 8.1815 8.1674 Å, 59.94 59.94 90.00°
With the nearest neighbours (Å) after each atom.
Fractional positions:
Cs: 0.7500 0.2500 0.5000  12 I 4.08-4.09
Cs: 0.2500 0.7500 0.5000  12 I 4.08-4.09
I: 0.2471 0.2471 0.5057  1 Mo 2.85, 1 B 2.92
I: 0.7529 0.7529 0.4943  1 Mo 2.85, 1 B 2.92
I: 0.2462 0.2462 0.0000  1 Mo 2.85, 1 B 2.94
I: 0.7538 0.7538 0.0000  1 Mo 2.85, 1 B 2.94
I: 0.7538 0.2462 0.0000  1 Mo 2.85, 1 B 2.94
I: 0.2462 0.7538 0.0000  1 Mo 2.85, 1 B 2.94
Mo: 0.0000 0.0000 0.0000  6 I 2.85
B: 0.5000 0.5000 0.0000  6 I 2.92-2.94

8.
Below is a relaxed CsBI2N crystal, with properties calculated at the PBE level.

Results
ΔE_f (raw): 170.9 kJ/mol of atoms
Energy relative to the lowest polymorph listed for this composition: 1934 meV/atom
Theoretical density: 2.36 g/cm³

Cell: 7.1423 7.1423 5.6747 Å, 90.00 90.00 90.00°
With the nearest neighbours (Å) after each atom.
Fractional positions:
Cs: 0.0000 0.0000 0.0000  2 N 2.84
I: 0.0000 0.5000 0.0000  2 Cs 3.57
I: 0.5000 0.0000 0.0000  2 Cs 3.57
B: 0.5000 0.5000 0.5000  8 I 4.56, 4 N 5.05
N: 0.0000 0.0000 0.5000  2 Cs 2.84

9.
Below is a relaxed CsBIN2 crystal, with properties calculated at the PBE level.

Results
ΔE_f (raw): 271.7 kJ/mol of atoms
Energy relative to the lowest polymorph listed for this composition: 917 meV/atom
Theoretical density: 3.10 g/cm³

Cell: 4.5107 4.5107 7.8584 Å, 90.00 90.00 90.00°
With the nearest neighbours (Å) after each atom.
Fractional positions:
Cs: 0.0000 0.0000 0.0000  4 N 2.26
I: 0.0000 0.0000 0.5000  4 B 3.19
B: 0.5000 0.5000 0.5000  4 I 3.19
N: 0.0000 0.5000 0.0000  2 Cs 2.26
N: 0.5000 0.0000 0.0000  2 Cs 2.26

10.
Below is a relaxed CsBIN2 crystal, with properties calculated at the PBE level.

Results
ΔE_f (raw): 183.2 kJ/mol of atoms
Energy relative to the lowest polymorph listed for this composition: 0 meV/atom
Theoretical density: 4.59 g/cm³

Cell: 4.6900 4.6900 4.9136 Å, 90.00 90.00 90.00°
With the nearest neighbours (Å) after each atom.
Fractional positions:
Cs: 0.5000 0.5000 0.5000  4 I 3.32, 8 N 3.40
I: 0.0000 0.0000 0.5000  2 B 2.46
B: 0.0000 0.0000 0.0000  4 N 2.35, 2 I 2.46
N: 0.0000 0.5000 0.0000  2 B 2.35
N: 0.5000 0.0000 0.0000  2 B 2.35

11.
Below is a relaxed CsBI2N crystal, with properties calculated at the PBE level.

Results
ΔE_f (raw): -15.7 kJ/mol of atoms
Energy relative to the lowest polymorph listed for this composition: 0 meV/atom
Theoretical density: 4.55 g/cm³

Cell: 7.1428 7.1428 2.9413 Å, 90.00 90.00 90.00°
With the nearest neighbours (Å) after each atom.
Fractional positions:
Cs: 0.5000 0.5000 0.5000  2 Cs 2.94
I: 0.0000 0.5000 0.0000  2 I 2.94
I: 0.5000 0.0000 0.0000  2 I 2.94
B: 0.0000 0.0000 0.0000  2 N 1.47
N: 0.0000 0.0000 0.5000  2 B 1.47

12.
Below is a relaxed Cs2NaBI6 crystal, with properties calculated at the PBE level.

Results
ΔE_f (raw): -56.2 kJ/mol of atoms
Theoretical density: 4.07 g/cm³

Cell: 8.1675 8.1675 8.6883 Å, 61.96 61.96 90.00°
With the nearest neighbours (Å) after each atom.
Fractional positions:
Cs: 0.7500 0.2500 0.5000  12 I 4.09-4.37
Cs: 0.2500 0.7500 0.5000  12 I 4.09-4.37
I: 0.2290 0.2290 0.5420  1 Na 2.97
I: 0.7710 0.7710 0.4580  1 Na 2.97
I: 0.2897 0.2897 0.0000  1 B 2.43
I: 0.7103 0.7103 0.0000  1 B 2.43
I: 0.7103 0.2897 0.0000  1 B 2.43
I: 0.2897 0.7103 0.0000  1 B 2.43
B: 0.5000 0.5000 0.0000  4 I 2.43
Na: 0.0000 0.0000 0.0000  2 I 2.97

Here are the calculated total energy numbers, same order: -6.96; -36.61; -29.85; -34.11; -25.86; -25.03; -31.73; -10.10; -11.65; -16.24; -19.77; -24.82 (eV per cell).